# 1
# PBE InOsBr2, relaxed
# **Energy**: -13.7 eV/cell
# **Uncorrected formation energy**: 0.903 eV/atom
data_InOsBr2
_cell_length_a 3.3090
_cell_length_b 3.3090
_cell_length_c 8.8190
_cell_angle_alpha 90.00
_cell_angle_beta 90.00
_cell_angle_gamma 90.00
_symmetry_space_group_name_H-M 'P 4/m m m'
_symmetry_Int_Tables_number 123
_symmetry_space_group_name_Hall '-P 4 2'
loop_
_atom_site_label
_atom_site_fract_x
_atom_site_fract_y
_atom_site_fract_z
In1 0.0000 0.0000 0.0000
Os1 0.0000 0.0000 0.5000
Br1 0.5000 0.5000 0.3026


# 2
# PBE InGe2Pt, relaxed
# **Energy**: -55.2 eV/cell
# **Formation enthalpy at 0 K**: -9.6 kJ/mol of atoms
data_InGe2Pt
_cell_length_a 3.4744
_cell_length_b 3.4744
_cell_length_c 25.8487
_cell_angle_alpha 90.00
_cell_angle_beta 90.00
_cell_angle_gamma 120.00
_symmetry_space_group_name_H-M 'R -3 m'
_symmetry_Int_Tables_number 166
_symmetry_space_group_name_Hall '-R 3 2"'
loop_
_atom_site_label
_atom_site_fract_x
_atom_site_fract_y
_atom_site_fract_z
In1 0.0000 0.0000 0.0000
Ge1 0.0000 0.0000 0.1062
Pt1 0.0000 0.0000 0.5000


no.,Fermi-level density of states (states/eV/f.u.)
1,1.5
2,2.0